{"formula": "VSbMoO6", "functional": "PBE with a Hubbard U", "state": "relaxed", "cell": [[5.169, 0.000, 0.000], [-2.585, 4.477, 0.000], [0.000, 0.000, 9.028]], "species": ["V", "V", "Sb", "Sb", "Mo", "Mo", "O", "O", "O", "O", "O", "O", "O", "O", "O", "O", "O", "O"], "fractional_positions": [[0.333, 0.667, 0.250], [0.667, 0.333, 0.750], [0.333, 0.667, 0.750], [0.667, 0.333, 0.250], [0.000, 0.000, 0.000], [0.000, 0.000, 0.500], [0.003, 0.338, 0.631], [0.003, 0.666, 0.869], [0.334, 0.338, 0.869], [0.334, 0.997, 0.631], [0.338, 0.003, 0.131], [0.338, 0.334, 0.369], [0.662, 0.666, 0.631], [0.662, 0.997, 0.869], [0.666, 0.003, 0.369], [0.666, 0.662, 0.131], [0.997, 0.334, 0.131], [0.997, 0.662, 0.369]], "final_energy_ev_per_atom": -7.05}